Record 1
{"formula": "Ti3GeH", "functional": "GGA-PBE", "state": "relaxed", "cell": [[-2.456, -0.987, 3.047], [-2.889, -0.975, -2.644], [1.383, -3.790, -0.113]], "species": ["Ti", "Ge", "Ti", "H", "Ti"], "frac_coords": [[0.000, 0.000, 0.500], [0.500, 0.500, 0.500], [0.000, 0.500, 0.000], [0.000, 0.000, 0.000], [0.500, 0.000, 0.000]], "sg": "No. 221", "relative_energy_ev_per_atom": 0.000}

=====

Record 2
{"formula": "TiGeH", "functional": "GGA-PBE", "state": "relaxed", "cell": [[2.937, 0.000, 0.805], [0.000, 5.163, 0.000], [0.169, 0.000, 5.111]], "species": ["Ti", "H", "Ti", "Ge", "Ge", "H"], "frac_coords": [[0.841, 0.750, 0.820], [0.441, 0.750, 0.620], [0.159, 0.250, 0.180], [0.116, 0.750, 0.275], [0.884, 0.250, 0.725], [0.559, 0.250, 0.380]], "sg": "No. 11", "relative_energy_ev_per_atom": 0.191}

=====

Record 3
{"formula": "Ti4GeH2", "functional": "GGA-PBE", "state": "relaxed", "cell": [[-3.975, 3.016, 3.895], [-1.727, -2.526, -5.543], [1.693, -5.089, 3.393]], "species": ["H", "Ti", "Ge", "Ti", "Ti", "Ti", "Ti", "Ti", "Ti", "H", "H", "Ti", "H", "Ge"], "frac_coords": [[0.125, 0.429, 0.805], [0.803, 0.048, 0.629], [0.250, 0.750, 0.500], [0.423, 0.169, 0.871], [0.419, 0.173, 0.371], [0.828, 0.198, 0.247], [0.298, 0.552, 0.129], [0.448, 0.578, 0.747], [0.951, 0.581, 0.753], [0.679, 0.875, 0.304], [0.625, 0.320, 0.196], [0.831, 0.701, 0.253], [0.570, 0.375, 0.695], [0.000, 0.000, 0.000]], "sg": "No. 43", "relative_energy_ev_per_atom": 0.000}

=====

Record 4
{"formula": "TiGeH2", "functional": "GGA-PBE", "state": "relaxed", "cell": [[-2.142, -1.412, -1.722], [-2.199, -1.702, 1.347], [-4.313, 2.934, 0.196]], "species": ["Ti", "H", "H", "Ge"], "frac_coords": [[0.690, 0.690, 0.929], [0.997, 0.997, 0.009], [0.310, 0.310, 0.071], [0.503, 0.503, 0.490]], "sg": "No. 8", "relative_energy_ev_per_atom": 0.000}

=====

Record 5
{"formula": "Ti6GeH6", "functional": "GGA-PBE", "state": "relaxed", "cell": [[4.645, 0.000, 0.000], [-2.322, 4.022, 0.000], [0.000, 0.000, 7.596]], "species": ["H", "Ti", "H", "H", "Ti", "H", "H", "H", "Ti", "Ti", "Ti", "Ti", "Ge"], "frac_coords": [[0.000, 0.500, 0.685], [0.333, 0.667, 0.500], [0.500, 0.000, 0.315], [0.000, 0.500, 0.315], [0.667, 0.333, 0.000], [0.500, 0.000, 0.685], [0.500, 0.500, 0.685], [0.500, 0.500, 0.315], [0.000, 0.000, 0.328], [0.000, 0.000, 0.672], [0.667, 0.333, 0.500], [0.333, 0.667, 0.000], [0.000, 0.000, 0.000]], "total_energy_ev_per_atom": -5.69, "sg": "No. 191"}

=====

Record 6
{"formula": "Ti2GeH", "functional": "GGA-PBE", "state": "relaxed", "cell": [[3.617, 0.000, 0.000], [1.808, 3.132, 0.000], [1.808, 1.044, 4.771]], "species": ["H", "Ti", "Ge", "Ti"], "frac_coords": [[0.000, 0.000, 0.000], [0.266, 0.266, 0.201], [0.500, 0.500, 0.500], [0.734, 0.734, 0.799]], "sg": "No. 166", "relative_energy_ev_per_atom": 0.325}

=====

Ρ in Mg/m³, matching the order above: 5.49, 5.26, 4.74, 5.02, 4.28, 5.20